First-principles (PBE) data for a geometry-optimized Ca2ScW structure, as listed in the Alexandria database.

a = 3.6044 Å, b = 3.6361 Å, c = 8.4312 Å
α = 90.00°, β = 90.18°, γ = 90.00°
Last column: nearest neighbours and their distance in Å.
Atoms (fractional coordinates):
Ca 0.0000 0.0000 0.0000  1 Sc 3.13, 4 W 3.28
Ca 0.4961 0.5000 0.3619  1 W 3.33, 4 Sc 3.41, 4 Ca 3.60-3.64
Sc 0.9973 0.0000 0.6290  4 W 2.78
W 0.4983 0.5000 0.7572  4 Sc 2.78

## Properties
Crystal system   monoclinic
Uncorrected energy   -5.329 eV/atom
Calculated formation energy   493.4 meV/atom
D(E_F)   1.25 states/eV/atom
Relative energy among the computed polymorphs   0.0 meV/atom
Space group   Pm